No. 1
A plane-wave DFT calculation with meta-GGA SCAN was carried out for a PBEsol-optimized structure of CaZrSc2.

## Properties
Symmetry: Pmm2
Energy of formation in kcal/mol of atoms: 5.31
Distance to the lowest polymorph of the same formula in meV/atom: 0

a = 3.311 Å, b = 4.289 Å, c = 7.346 Å
α = 90.00°, β = 90.00°, γ = 90.00°
Fractional positions:
Ca (0.500, 0.500, 0.739)
Sc (0.000, 0.000, 0.044)
Sc (0.500, 0.500, 0.264)
Zr (0.000, 0.000, 0.453)

***

No. 2
A plane-wave DFT calculation with meta-GGA SCAN was carried out for a PBEsol-optimized structure of In2TcAs.

## Properties
Symmetry: R-3m
Energy of formation in kcal/mol of atoms: 10.09

a = 3.024 Å, b = 3.024 Å, c = 9.765 Å
α = 81.09°, β = 81.09°, γ = 60.00°
Fractional positions:
In (0.242, 0.242, 0.273)
In (0.758, 0.758, 0.727)
Tc (0.500, 0.500, 0.500)
As (0.000, 0.000, 0.000)

***

No. 3
A plane-wave DFT calculation with meta-GGA SCAN was carried out for a PBEsol-optimized structure of Zr3WN.

## Properties
Symmetry: Pm-3m
DFT total energy in hartree per atom: -1.2812

a = 4.411 Å, b = 4.411 Å, c = 4.411 Å
α = 90.00°, β = 90.00°, γ = 90.00°
Fractional positions:
W (0.500, 0.500, 0.500)
N (0.000, 0.000, 0.000)
Zr (0.000, 0.500, 0.000)
Zr (0.500, 0.000, 0.000)
Zr (0.000, 0.000, 0.500)

***

In order of appearance, D(E_F) = 4.5, 2.8, 2.3 states/eV/cell.